(1)
First-principles (GGA-PBE) data for a relaxed structure of UMnZnIr, as listed in Alexandria via LeMat-Bulk.

Cell: 6.4565 6.4565 6.4565 Å, 90.00 90.00 90.00°
Space group F-43m (No. 216)
Asymmetric unit:
U (0.0000, 0.0000, 0.0000) (multiplicity 4)
Mn (0.2500, 0.2500, 0.7500) (multiplicity 4)
Zn (0.0000, 0.0000, 0.5000) (multiplicity 4)
Ir (0.2500, 0.2500, 0.2500) (multiplicity 4)

ΔH_f (0 K), eV/f.u.: -0.398
Total magnetic moment, μB/cell: 2.56
DFT total energy, eV per formula unit: -30.99
N(E_F), states/eV/f.u.: 8.21



(2)
First-principles (GGA-PBE) data for a relaxed structure of Mn4VIr, as listed in Alexandria via LeMat-Bulk.

Cell: 6.5752 6.5752 6.5752 Å, 90.00 90.00 90.00°
Space group F-43m (No. 216)
Asymmetric unit:
Mn (0.1240, 0.1240, 0.1240) (multiplicity 16)
V (0.0000, 0.0000, 0.5000) (multiplicity 4)
Ir (0.2500, 0.2500, 0.7500) (multiplicity 4)

ΔH_f (0 K), eV/f.u.: -0.697
Total magnetic moment, μB/cell: 0.01
DFT total energy, eV per formula unit: -55.36
N(E_F), states/eV/f.u.: 3.54



(3)
First-principles (GGA-PBE) data for a relaxed structure of MnV4Ir5, as listed in Alexandria via LeMat-Bulk.

Cell: 2.7549 2.7549 18.3270 Å, 90.00 90.00 90.00°
Space group P4/mmm (No. 123)
Asymmetric unit:
Mn (0.0000, 0.0000, 0.0000) (multiplicity 1)
V (0.0000, 0.0000, 0.1992) (multiplicity 2)
V (0.0000, 0.0000, 0.3998) (multiplicity 2)
Ir (0.5000, 0.5000, 0.1001) (multiplicity 2)
Ir (0.5000, 0.5000, 0.2994) (multiplicity 2)
Ir (0.5000, 0.5000, 0.5000) (multiplicity 1)

ΔH_f (0 K), eV/f.u.: -4.261
Total magnetic moment, μB/cell: 3.55
DFT total energy, eV per formula unit: -94.21
N(E_F), states/eV/f.u.: 12.07



(4)
First-principles (GGA-PBE) data for a relaxed structure of Mn2VIr, as listed in Alexandria via LeMat-Bulk.

Cell: 5.9937 5.9937 5.9937 Å, 90.00 90.00 90.00°
Space group Fm-3m (No. 225)
Asymmetric unit:
Mn (0.2500, 0.2500, 0.2500) (multiplicity 8)
V (0.0000, 0.0000, 0.0000) (multiplicity 4)
Ir (0.0000, 0.0000, 0.5000) (multiplicity 4)

ΔH_f (0 K), eV/f.u.: -0.876
Total magnetic moment, μB/cell: 16.26
DFT total energy, eV per formula unit: -37.19
N(E_F), states/eV/f.u.: 2.16



(5)
First-principles (GGA-PBE) data for a relaxed structure of MnVIr2, as listed in Alexandria via LeMat-Bulk.

Cell: 3.8035 3.8035 16.9600 Å, 90.00 90.00 90.00°
Space group I-42d (No. 122)
Asymmetric unit:
Mn (0.0000, 0.0000, 0.0000) (multiplicity 4)
V (0.0000, 0.0000, 0.5000) (multiplicity 4)
Ir (0.2439, 0.2500, 0.1250) (multiplicity 8)

ΔH_f (0 K), eV/f.u.: 1.071
Total magnetic moment, μB/cell: 7.82
DFT total energy, eV per formula unit: -34.94
N(E_F), states/eV/f.u.: 3.44



(6)
First-principles (GGA-PBE) data for a relaxed structure of Mn2VIr, as listed in Alexandria via LeMat-Bulk.

Cell: 2.9986 2.9986 5.8885 Å, 90.00 90.00 90.00°
Space group P4/mmm (No. 123)
Asymmetric unit:
Mn (0.0000, 0.0000, 0.2360) (multiplicity 2)
V (0.5000, 0.5000, 0.0000) (multiplicity 1)
Ir (0.5000, 0.5000, 0.5000) (multiplicity 1)

ΔH_f (0 K), eV/f.u.: -0.576
Total magnetic moment, μB/cell: 4.19
DFT total energy, eV per formula unit: -36.89
N(E_F), states/eV/f.u.: 3.82